Record 1
Computed, not measured: crystalline Sc2TcP at its relaxed geometry at the PBE level of DFT.

As for the space group: P4mm, No. 99. The formation energy from the elements comes out at -0.29 eV/atom.

Geometry as extended XYZ:
```
4
Lattice="-2.975 2.044 -0.188 -1.218 -2.024 -2.736 -2.533 -3.356 3.610" Properties=species:S:1:pos:R:3 pbc="T T T"
Tc -1.162 -1.540 1.656
Sc -2.412 -3.196 3.437
Sc -2.835 -0.969 -0.409
P -4.116 -2.666 1.416
```

***

Record 2
Computed, not measured: crystalline Pm9Pr11Y4 at its relaxed geometry at the PBE level of DFT.

As for the space group: Cmmm, No. 65. The formation energy from the elements comes out at 0.05 eV/atom.

Geometry as extended XYZ:
```
24
Lattice="-3.486 0.047 -1.201 -1.904 -15.150 4.931 -3.496 11.523 10.604" Properties=species:S:1:pos:R:3 pbc="T T T"
Pm -2.487 2.104 1.643
Pr -2.510 -4.987 7.092
Y -3.647 1.237 4.975
Pm -4.216 4.387 6.752
Y -5.239 -4.817 9.359
Pr -2.889 1.360 8.443
Pr -3.923 -7.754 11.085
Pm -2.191 -2.858 0.588
Y -3.361 -3.555 3.955
Pr -2.203 -10.140 5.996
Pm -6.398 -5.683 12.691
Pm -3.525 -7.198 4.288
Pr -1.181 -0.794 3.399
Y -5.525 -0.025 10.379
Pr 0.000 0.000 0.000
Pm -5.361 3.618 10.046
Pr -1.477 4.127 4.450
Pr -3.197 6.513 9.539
Pr -0.889 -5.716 2.356
Pm -6.695 -0.722 13.747
Pm -4.443 -1.790 7.167
Pr -4.511 2.089 13.179
Pr -4.218 -2.833 12.136
Pm -4.670 -7.967 7.582
```

***

Record 3
Computed, not measured: crystalline Tl2Pd3Se6 at its relaxed geometry at the PBE level of DFT.

For the energy relative to the elements, uncorrected, the calculation gives -280 meV/atom. As for the space group: C2/m, No. 12.

Geometry as extended XYZ:
```
11
Lattice="6.411 0.000 1.899 3.205 5.778 0.949 0.103 0.000 7.423" Properties=species:S:1:pos:R:3 pbc="T T T"
Se 8.181 3.840 3.806
Se 1.538 1.938 6.465
Pd 6.411 3.831 1.899
Se 4.743 0.000 7.486
Tl 6.462 1.937 5.610
Se 4.744 3.840 7.414
Tl 3.257 3.841 4.661
Pd 3.205 1.947 0.949
Se 4.975 1.938 2.857
Pd 0.000 0.000 0.000
Se 1.770 0.000 1.835
```

***

Record 4
Computed, not measured: crystalline YMgSi at its relaxed geometry at the PBE level of DFT.

For the energy relative to the elements, uncorrected, the calculation gives 139 meV/atom. As for the space group: F-43m, No. 216.

Geometry as extended XYZ:
```
3
Lattice="4.799 0.000 0.000 2.400 4.156 0.000 2.400 1.385 3.919" Properties=species:S:1:pos:R:3 pbc="T T T"
Y 7.199 4.156 2.939
Mg 0.000 0.000 0.000
Si 4.799 2.771 1.959
```

***

For each record above, in turn, the calculated E_tot values are -7.401, -4.997, -4.027, -4.355 eV/atom.